[1]
An optimized crystal structure of Pm2DySe2O2, computed with PBE-GGA.

**E**: -94.8 eV for the cell shown
**Formation energy from raw total energies**: -2.347 eV/atom

Cell lengths 4.3173, 4.3173, 15.5299 Å; angles 90.00, 90.00, 90.00 degrees
Closest atoms and distances in Å follow each position.
Space group I4/mmm (No. 139)
Symmetry-distinct sites (fractional):
Pm 0.0000 0.0000 0.1270 [4 per cell]  4 O 2.92, 5 Se 2.98-3.17
Dy 0.0000 0.0000 0.5000 [2 per cell]  4 O 2.16
Se 0.0000 0.0000 0.3188 [4 per cell]  1 Dy 2.81, 1 Pm 2.98
O 0.0000 0.5000 0.0000 [4 per cell]  2 Dy 2.16



[2]
An optimized crystal structure of Sc6Ir3O, computed with PBE-GGA.

**E**: -162.2 eV for the cell shown
**Formation energy from raw total energies**: -1.159 eV/atom

Cell lengths 6.0728, 6.9368, 10.2530 Å; angles 90.00, 120.48, 90.00 degrees
Closest atoms and distances in Å follow each position.
Space group P2_1/c (No. 14)
Symmetry-distinct sites (fractional):
Sc 0.0929 0.0441 0.2375 [4 per cell]  1 O 2.22
Sc 0.2103 0.6868 0.0687 [4 per cell]  1 O 2.44, 2 Ir 2.55-2.72
Sc 0.3701 0.1594 0.0553 [4 per cell]  1 O 2.30
Ir 0.3074 0.1117 0.7624 [4 per cell]  7 Sc 2.66-2.90
Ir 0.5000 0.0000 0.5000 [2 per cell]  6 Sc 2.55-2.64
O 0.0000 0.0000 0.0000 [2 per cell]  6 Sc 2.22-2.44



[3]
An optimized crystal structure of ScTiCr2, computed with PBE-GGA.

**E**: -129.9 eV for the cell shown
**Energy relative to the elements**: 1.0 eV/f.u.

Cell lengths 6.3637, 6.3637, 6.3637 Å; angles 90.00, 90.00, 90.00 degrees
Closest atoms and distances in Å follow each position.
Space group Fm-3m (No. 225)
Symmetry-distinct sites (fractional):
Sc 0.0000 0.0000 0.0000 [4 per cell]  8 Cr 2.76
Ti 0.0000 0.0000 0.5000 [4 per cell]  8 Cr 2.76
Cr 0.2500 0.2500 0.2500 [8 per cell]  4 Sc 2.76, 4 Ti 2.76



[4]
An optimized crystal structure of Pr4Nd2Ho5, computed with PBE-GGA.

**E**: -100.9 eV for the cell shown
**Energy relative to the elements**: 1.1 eV/f.u.

Cell lengths 19.6985, 5.9070, 6.4113 Å; angles 90.00, 94.92, 90.00 degrees
Closest atoms and distances in Å follow each position.
Space group C2/m (No. 12)
Symmetry-distinct sites (fractional):
Pr 0.0362 0.0000 0.2654 [4 per cell]  5 Ho 3.32-3.55, 2 Pr 3.44-3.57, 2 Nd 3.62
Pr 0.1929 0.5000 0.0727 [4 per cell]  8 Ho 3.45-3.79, 2 Nd 3.69-3.72
Nd 0.0986 0.5000 0.5451 [4 per cell]  7 Ho 3.57-3.92, 4 Pr 3.62-3.72, 1 Nd 3.88
Ho 0.0000 0.5000 0.0000 [2 per cell]  6 Pr 3.45-3.79, 4 Nd 3.64-3.85
Ho 0.1315 0.0000 0.8493 [4 per cell]  5 Pr 3.32-3.46, 1 Ho 3.48, 2 Nd 3.57
Ho 0.2152 0.0000 0.3922 [4 per cell]  4 Ho 3.48-3.72, 5 Pr 3.55-3.74, 1 Nd 3.65



[5]
An optimized crystal structure of CuMoAu2, computed with PBE-GGA.

**E**: -41.0 eV for the cell shown
**Energy relative to the elements**: 1.0 eV/f.u.

Cell lengths 9.3467, 2.7629, 5.0456 Å; angles 90.00, 98.66, 90.00 degrees
Closest atoms and distances in Å follow each position.
Space group Cm (No. 8)
Symmetry-distinct sites (fractional):
Cu 0.0000 0.0000 0.0000 [2 per cell]  2 Cu 2.76, 3 Mo 2.78-2.91, 7 Au 2.78-2.96
Mo 0.2598 0.0000 0.7478 [2 per cell]  7 Au 2.74-2.94, 2 Mo 2.76, 3 Cu 2.78-2.91
Au 0.0090 0.5000 0.5219 [2 per cell]  3 Mo 2.74-2.81, 5 Au 2.76-2.99, 4 Cu 2.79-2.96
Au 0.2478 0.5000 0.2312 [2 per cell]  5 Au 2.76-2.99, 3 Cu 2.78-2.80, 4 Mo 2.82-2.94



[6]
An optimized crystal structure of Dy2ReHg, computed with PBE-GGA.

**E**: -22.5 eV for the cell shown
**Energy relative to the elements**: -0.5 eV/f.u.

Cell lengths 3.4963, 3.4963, 7.5579 Å; angles 90.00, 90.00, 90.00 degrees
Closest atoms and distances in Å follow each position.
Space group P4/mmm (No. 123)
Symmetry-distinct sites (fractional):
Dy 0.0000 0.0000 0.2184 [2 per cell]  4 Re 2.97, 4 Hg 3.26, 1 Dy 3.30
Re 0.5000 0.5000 0.0000 [1 per cell]  8 Dy 2.97
Hg 0.5000 0.5000 0.5000 [1 per cell]  8 Dy 3.26, 4 Hg 3.50



Which of these has the lowest E?
Sc6Ir3O



Look up the E of the third one.
-129.9 eV for the cell shown



Number 6 is which compound?
Dy2ReHg



Number 4 is which compound?
Pr4Nd2Ho5